1.
DFT (PBE-GGA) results for crystalline CuWBr2 at its relaxed geometry.

Lattice parameters (Å, degrees): 4.7569 4.7569 3.1738 90.00 90.00 90.00
Last column: magnetic moment on the atom in μB.
Sites, in units of the cell vectors:
W1 0.0000 0.5000 0.5000  0.96
Br1 0.5000 0.5000 0.0000  0.01
Br2 0.0000 0.0000 0.0000  0.01
Cu1 0.5000 0.0000 0.5000  0.03

Values from the calculation:
For the total energy, the calculation gives -3.985 eV/atom. As for the crystal system: tetragonal.

=====

2.
DFT (PBE-GGA) results for crystalline TbNd6Dy4 at its relaxed geometry.

Lattice parameters (Å, degrees): 6.7516 6.7516 9.6836 110.40 110.40 90.00
Sites, in units of the cell vectors:
Nd1 0.1325 0.1325 0.6461
Nd2 0.8675 0.4864 0.3539
Nd3 0.5000 0.0000 0.0000
Nd4 0.5136 0.5136 0.6461
Nd5 0.0000 0.5000 0.0000
Nd6 0.4864 0.8675 0.3539
Dy1 0.0565 0.7018 0.7582
Dy2 0.2982 0.2982 0.2418
Dy3 0.7018 0.0565 0.7582
Dy4 0.9435 0.9435 0.2418
Tb1 0.5000 0.5000 0.0000

Values from the calculation:
For the total energy, the calculation gives -4.395 eV/atom. As for the crystal system: tetragonal. Its formation energy from the elements is 0.30 eV/atom.

=====

3.
DFT (PBE-GGA) results for crystalline KCuSnCl6 at its relaxed geometry.

Lattice parameters (Å, degrees): 6.6004 6.6004 13.8760 90.00 90.00 120.00
Last column: magnetic moment on the atom in μB.
Sites, in units of the cell vectors:
Cl1 0.6254 0.9933 0.8523  0.00
Cl2 0.0067 0.6321 0.8523  0.00
Cl3 0.3679 0.3746 0.8523  0.00
Cl4 0.6254 0.6321 0.6477  0.00
Cl5 0.9933 0.6254 0.3523  0.00
Cl6 0.3746 0.3679 0.3523  0.00
Cl7 0.3746 0.0067 0.1477  0.00
Cl8 0.3679 0.9933 0.6477  0.00
Cl9 0.0067 0.3746 0.6477  0.00
Cl10 0.6321 0.6254 0.1477  0.00
Cl11 0.6321 0.0067 0.3523  0.00
Cl12 0.9933 0.3679 0.1477  0.00
Cu1 0.3333 0.6667 0.2500  0.10
Cu2 0.6667 0.3333 0.7500  0.10
K1 0.0000 0.0000 0.0000  0.00
K2 0.0000 0.0000 0.5000  0.00
Sn1 0.3333 0.6667 0.7500  0.00
Sn2 0.6667 0.3333 0.2500  0.00

Values from the calculation:
For the total energy, the calculation gives -3.298 eV/atom. As for the crystal system: trigonal.